No. 1
This record from Alexandria via LeMat-Bulk describes TlGe3Os at its PBEsol-relaxed geometry. The functional is SCAN.

Cell lengths 5.053, 5.053, 5.053 Å; angles 90.00, 90.00, 90.00 degrees
Last column: magnetic moment on the atom in μB.
Fractional positions:
1 Ge 0.500 0.000 0.000  -0.04
2 Os 0.500 0.500 0.500  1.97
3 Ge 0.000 0.000 0.500  -0.04
4 Tl 0.000 0.000 0.000  -0.01
5 Ge 0.000 0.500 0.000  -0.04

Values from the calculation:
SG: No. 221
Theoretical density, g/cm3: 7.88
Energy relative to the elements, meV per atom: 2163



No. 2
This record from Alexandria via LeMat-Bulk describes NaHf2S at its PBEsol-relaxed geometry. The functional is SCAN.

Cell lengths 4.000, 4.000, 10.484 Å; angles 101.00, 101.00, 90.00 degrees
Fractional positions:
1 Na 0.750 0.250 0.500
2 Hf 0.896 0.375 0.250
3 Na 0.500 0.500 0.000
4 Hf 0.354 0.875 0.250
5 S 0.250 0.750 0.500
6 Hf 0.125 0.104 0.750
7 S 0.000 0.000 0.000
8 Hf 0.625 0.646 0.750

Values from the calculation:
SG: No. 122
E_form (uncorrected), eV/f.u.: 0.78
Theoretical density, g/cm3: 8.47



No. 3
This record from Alexandria via LeMat-Bulk describes CuNi2Ir at its PBEsol-relaxed geometry. The functional is SCAN.

Cell lengths 2.575, 3.562, 5.071 Å; angles 90.00, 90.00, 90.00 degrees
Fractional positions:
1 Cu 0.500 0.500 0.000
2 Ir 0.500 0.500 0.500
3 Ni 0.000 0.000 0.250
4 Ni 0.000 0.000 0.750

Values from the calculation:
SG: No. 47
Theoretical density, g/cm3: 13.32
Energy relative to the elements, meV per atom: 65



No. 4
This record from Alexandria via LeMat-Bulk describes TlSi2Au at its PBEsol-relaxed geometry. The functional is SCAN.

Cell lengths 3.350, 3.350, 7.250 Å; angles 90.00, 90.00, 98.58 degrees
Fractional positions:
1 Si 0.000 0.000 0.815
2 Si 0.000 0.000 0.185
3 Au 0.500 0.500 0.000
4 Tl 0.500 0.500 0.500

Values from the calculation:
SG: No. 65
E_form (uncorrected), eV/f.u.: 1.64
Theoretical density, g/cm3: 9.44
Relative energy among the computed polymorphs, eV/atom: 0.227



No. 5
This record from Alexandria via LeMat-Bulk describes NdAl4Ni at its PBEsol-relaxed geometry. The functional is SCAN.

Cell lengths 4.091, 6.552, 8.093 Å; angles 90.00, 104.64, 90.00 degrees
Fractional positions:
1 Al 0.000 0.500 0.000
2 Ni 0.725 0.750 0.450
3 Nd 0.614 0.250 0.228
4 Al 0.809 0.447 0.618
5 Al 0.579 0.750 0.158
6 Ni 0.275 0.250 0.550
7 Nd 0.386 0.750 0.772
8 Al 0.421 0.250 0.842
9 Al 0.000 0.000 0.000
10 Al 0.191 0.553 0.382
11 Al 0.191 0.947 0.382
12 Al 0.809 0.053 0.618

Values from the calculation:
SG: No. 63
Theoretical density, g/cm3: 4.92
Energy relative to the elements, meV per atom: -604



No. 6
This record from Alexandria via LeMat-Bulk describes PdN2Cl2 at its PBEsol-relaxed geometry. The functional is SCAN.

Cell lengths 4.817, 4.817, 4.817 Å; angles 93.21, 118.16, 118.16 degrees
Last column: magnetic moment on the atom in μB.
Fractional positions:
1 N 0.000 0.416 0.416  0.02
2 N 0.000 0.584 0.584  0.02
3 Cl 0.500 0.250 0.750  0.33
4 Pd 0.000 0.000 0.000  1.20
5 Cl 0.500 0.750 0.250  0.33

Values from the calculation:
SG: No. 139
E_form (uncorrected), eV/f.u.: 1.95
Theoretical density, g/cm3: 4.20



No. 7
This record from Alexandria via LeMat-Bulk describes FeCu2Te at its PBEsol-relaxed geometry. The functional is SCAN.

Cell lengths 3.748, 3.600, 4.902 Å; angles 111.50, 112.48, 90.00 degrees
Last column: magnetic moment on the atom in μB.
Fractional positions:
1 Fe 0.000 0.500 0.000  2.52
2 Cu 0.249 0.249 0.497  0.02
3 Cu 0.751 0.751 0.503  0.02
4 Te 0.500 0.000 0.000  0.02

Values from the calculation:
SG: No. 71
E_form (uncorrected), eV/f.u.: 1.31
Theoretical density, g/cm3: 9.19



No. 8
This record from Alexandria via LeMat-Bulk describes KCaF2 at its PBEsol-relaxed geometry. The functional is SCAN.

Cell lengths 5.921, 5.921, 7.097 Å; angles 114.65, 114.65, 90.00 degrees
Fractional positions:
1 K 0.750 0.250 0.500
2 F 0.264 0.875 0.250
3 Ca 0.000 0.000 0.000
4 F 0.125 0.014 0.750
5 K 0.500 0.500 0.000
6 F 0.625 0.736 0.750
7 Ca 0.250 0.750 0.500
8 F 0.986 0.375 0.250

Values from the calculation:
SG: No. 122
E_form (uncorrected), eV/f.u.: -11.19
Theoretical density, g/cm3: 1.94



No. 9
This record from Alexandria via LeMat-Bulk describes Be2AlAs at its PBEsol-relaxed geometry. The functional is SCAN.

Cell lengths 2.880, 4.207, 5.098 Å; angles 107.67, 90.00, 110.01 degrees
Fractional positions:
1 Be 0.264 0.529 0.193
2 As 0.000 0.000 0.500
3 Al 0.500 0.000 0.000
4 Be 0.736 0.471 0.807

Values from the calculation:
SG: No. 12
Theoretical density, g/cm3: 3.63
Relative energy among the computed polymorphs, eV/atom: 0.000
Energy relative to the elements, meV per atom: 334



No. 10
This record from Alexandria via LeMat-Bulk describes YHgBr2 at its PBEsol-relaxed geometry. The functional is SCAN.

Cell lengths 5.165, 5.165, 5.165 Å; angles 60.00, 60.00, 60.00 degrees
Last column: magnetic moment on the atom in μB.
Fractional positions:
1 Br 0.250 0.250 0.250  0.01
2 Br 0.750 0.750 0.750  0.01
3 Y 0.500 0.500 0.500  0.52
4 Hg 0.000 0.000 0.000  0.04

Values from the calculation:
SG: No. 225
E_form (uncorrected), eV/f.u.: -3.82
Theoretical density, g/cm3: 7.66
Relative energy among the computed polymorphs, eV/atom: 0.000



No. 11
This record from Alexandria via LeMat-Bulk describes Nb3SnSe at its PBEsol-relaxed geometry. The functional is SCAN.

Cell lengths 4.717, 4.717, 4.717 Å; angles 90.00, 90.00, 90.00 degrees
Fractional positions:
1 Sn 0.500 0.500 0.500
2 Nb 0.000 0.500 0.000
3 Nb 0.000 0.000 0.500
4 Nb 0.500 0.000 0.000
5 Se 0.000 0.000 0.000

Values from the calculation:
SG: No. 221
E_form (uncorrected), eV/f.u.: 2.37
Theoretical density, g/cm3: 7.54



No. 12
This record from Alexandria via LeMat-Bulk describes CoPtRh2 at its PBEsol-relaxed geometry. The functional is SCAN.

Cell lengths 2.668, 4.595, 4.595 Å; angles 109.46, 90.00, 90.00 degrees
Last column: magnetic moment on the atom in μB.
Fractional positions:
1 Rh 0.000 0.500 0.000  0.61
2 Co 0.500 0.000 0.000  2.21
3 Rh 0.000 0.000 0.500  0.61
4 Pt 0.500 0.500 0.500  0.16

Values from the calculation:
SG: No. 65
Theoretical density, g/cm3: 14.37
Energy relative to the elements, meV per atom: -31



No. 13
This record from Alexandria via LeMat-Bulk describes BaInTe at its PBEsol-relaxed geometry. The functional is SCAN.

Cell lengths 5.565, 5.565, 5.565 Å; angles 60.00, 60.00, 60.00 degrees
Fractional positions:
1 Te 0.500 0.500 0.500
2 In 0.000 0.000 0.000
3 Ba 0.250 0.250 0.250

Values from the calculation:
SG: No. 216
E_form (uncorrected), eV/f.u.: -1.68
Theoretical density, g/cm3: 5.18



No. 14
This record from Alexandria via LeMat-Bulk describes KBeW2 at its PBEsol-relaxed geometry. The functional is SCAN.

Cell lengths 2.718, 2.718, 9.337 Å; angles 90.00, 90.00, 99.56 degrees
Fractional positions:
1 W 0.000 0.000 0.330
2 W 0.000 0.000 0.670
3 K 0.500 0.500 0.000
4 Be 0.500 0.500 0.500

Values from the calculation:
SG: No. 65
Theoretical density, g/cm3: 10.15
Energy relative to the elements, meV per atom: 942



No. 15
This record from Alexandria via LeMat-Bulk describes Er7Ag2Te2 at its PBEsol-relaxed geometry. The functional is SCAN.

Cell lengths 4.007, 9.181, 9.181 Å; angles 61.87, 77.39, 77.39 degrees
Fractional positions:
1 Ag 0.735 0.194 0.336
2 Er 0.374 0.040 0.211
3 Er 0.626 0.789 0.960
4 Er 0.816 0.811 0.557
5 Ag 0.265 0.664 0.806
6 Er 0.500 0.503 0.497
7 Te 0.500 0.164 0.836
8 Te 0.000 0.765 0.235
9 Er 0.860 0.398 0.882
10 Er 0.140 0.118 0.602
11 Er 0.184 0.443 0.189

Values from the calculation:
SG: No. 44
E_form (uncorrected), eV/f.u.: -7.20
Theoretical density, g/cm3: 9.46



No. 16
This record from Alexandria via LeMat-Bulk describes TaFe2Ag at its PBEsol-relaxed geometry. The functional is SCAN.

Cell lengths 4.234, 4.234, 4.234 Å; angles 60.00, 60.00, 60.00 degrees
Last column: magnetic moment on the atom in μB.
Fractional positions:
1 Fe 0.250 0.250 0.250  2.55
2 Ta 0.500 0.500 0.500  -0.69
3 Fe 0.750 0.750 0.750  2.55
4 Ag 0.000 0.000 0.000  0.02

Values from the calculation:
SG: No. 225
Theoretical density, g/cm3: 12.39
Energy relative to the elements, meV per atom: 325



No. 17
This record from Alexandria via LeMat-Bulk describes NbZnTc2Ni at its PBEsol-relaxed geometry. The functional is SCAN.

Cell lengths 4.607, 4.607, 4.800 Å; angles 90.00, 90.00, 90.00 degrees
Last column: magnetic moment on the atom in μB.
Fractional positions:
1 Tc 0.500 0.000 0.000  1.55
2 Ni 0.500 0.500 0.500  1.11
3 Zn 0.000 0.000 0.500  -0.01
4 Tc 0.000 0.500 0.000  1.55
5 Nb 0.000 0.000 0.000  -0.28

Values from the calculation:
SG: No. 123
Theoretical density, g/cm3: 6.73
Energy relative to the elements, meV per atom: 1895



No. 18
This record from Alexandria via LeMat-Bulk describes MgPtRh at its PBEsol-relaxed geometry. The functional is SCAN.

Cell lengths 4.244, 4.244, 4.244 Å; angles 60.00, 60.00, 60.00 degrees
Last column: magnetic moment on the atom in μB.
Fractional positions:
1 Pt 0.750 0.750 0.750  0.41
2 Rh 0.000 0.000 0.000  1.00
3 Mg 0.500 0.500 0.500  -0.01

Values from the calculation:
SG: No. 216
Theoretical density, g/cm3: 9.90
Energy relative to the elements, meV per atom: -161



No. 19
This record from Alexandria via LeMat-Bulk describes CrCoSe2 at its PBEsol-relaxed geometry. The functional is SCAN.

Cell lengths 3.535, 3.535, 5.401 Å; angles 109.10, 109.10, 90.00 degrees
Last column: magnetic moment on the atom in μB.
Fractional positions:
1 Se 0.000 0.000 0.000  -0.12
2 Cr 0.250 0.750 0.500  3.54
3 Se 0.750 0.250 0.500  -0.26
4 Co 0.500 0.500 0.000  -1.80

Values from the calculation:
SG: No. 119
E_form (uncorrected), eV/f.u.: 0.44
Theoretical density, g/cm3: 7.46
Relative energy among the computed polymorphs, eV/atom: 0.235



No. 20
This record from Alexandria via LeMat-Bulk describes BeTeW2 at its PBEsol-relaxed geometry. The functional is SCAN.

Cell lengths 3.859, 3.859, 5.014 Å; angles 112.63, 112.63, 90.00 degrees
Fractional positions:
1 Be 0.500 0.500 0.000
2 Te 0.000 0.000 0.000
3 W 0.250 0.750 0.500
4 W 0.750 0.250 0.500

Values from the calculation:
SG: No. 139
E_form (uncorrected), eV/f.u.: 3.80
Theoretical density, g/cm3: 13.37



Calculated total energy, respectively: -38.137 -34.603 -29.597 -39.977 -15.731 -13.073 -21.118 -9.065 -8.829 -34.686 -30.603 -38.791 -37.289 -37.072 -45.165 -33.228 -24.693 -36.474 -18.851 -44.295 eV/atom.
Size of the total moment, respectively: 2.1 0.0 0.0 0.0 0.0 2.0 2.5 0.0 0.0 0.9 0.0 3.5 0.0 0.0 0.0 4.2 4.0 1.3 1.5 0.0 μB per formula unit.